Record 1
VASP calculation (GGA-PBE) on a relaxed Er2LuAg crystal.

Properties
- Formation enthalpy at 0 K: 0.215 eV per atom
- Final energy: -15.64 eV/f.u.
- ΔE to the lowest computed polymorph: 345.1 meV/atom

Geometry as extended XYZ:
```
4
Lattice="-0.582 1.494 2.938 -2.821 -0.651 1.679 4.138 -8.439 7.018" Properties=species:S:1:pos:R:3 pbc="T T T"
Lu 0.000 0.000 0.000
Ag 0.368 -3.798 5.817
Er 2.618 -5.925 5.438
Er -1.883 -1.671 6.197
```

---

Record 2
VASP calculation (GGA-PBE) on a relaxed ErLuAg crystal.

Properties
- Formation enthalpy at 0 K: -0.048 eV per atom
- Final energy: -12.08 eV/f.u.
- ΔE to the lowest computed polymorph: 134.2 meV/atom

Geometry as extended XYZ:
```
3
Lattice="-1.498 -2.376 2.218 3.583 0.879 3.362 -4.196 2.702 0.061" Properties=species:S:1:pos:R:3 pbc="T T T"
Lu -0.110 -0.175 0.163
Ag -2.080 1.338 1.867
Er 0.079 0.042 3.610
```

---

Record 3
VASP calculation (GGA-PBE) on a relaxed ErLu2Ag crystal.

Properties
- Formation enthalpy at 0 K: 0.013 eV per atom
- Final energy: -16.40 eV/f.u.
- ΔE to the lowest computed polymorph: 149.2 meV/atom

Geometry as extended XYZ:
```
4
Lattice="4.729 0.000 0.000 0.000 4.687 0.000 0.000 0.000 4.687" Properties=species:S:1:pos:R:3 pbc="T T T"
Lu 0.000 0.000 2.343
Lu 0.000 2.343 0.000
Ag 2.365 0.000 0.000
Er 2.365 2.343 2.343
```

---

Record 4
VASP calculation (GGA-PBE) on a relaxed ErLu2Ag crystal.

Properties
- Formation enthalpy at 0 K: 0.214 eV per atom
- Final energy: -15.60 eV/f.u.
- ΔE to the lowest computed polymorph: 350.1 meV/atom

Geometry as extended XYZ:
```
4
Lattice="-2.112 -2.090 -1.550 0.778 -1.236 -3.017 4.714 -10.015 3.457" Properties=species:S:1:pos:R:3 pbc="T T T"
Lu 3.209 -7.416 2.004
Lu 0.172 -5.925 -3.114
Ag 1.690 -6.670 -0.555
Er 0.000 0.000 0.000
```

---

Record 5
VASP calculation (GGA-PBE) on a relaxed ErLu2Ag crystal.

Properties
- Formation enthalpy at 0 K: -0.136 eV per atom
- Final energy: -17.00 eV/f.u.
- ΔE to the lowest computed polymorph: 0.0 meV/atom

Geometry as extended XYZ:
```
4
Lattice="3.488 0.000 0.000 0.000 3.488 0.000 0.000 0.000 8.715" Properties=species:S:1:pos:R:3 pbc="T T T"
Lu 0.000 0.000 6.840
Lu 0.000 0.000 1.874
Ag 1.744 1.744 0.000
Er 1.744 1.744 4.357
```

---

Record 6
VASP calculation (GGA-PBE) on a relaxed Er2LuAg crystal.

Properties
- Formation enthalpy at 0 K: 0.043 eV per atom
- Final energy: -16.33 eV/f.u.
- ΔE to the lowest computed polymorph: 173.6 meV/atom

Geometry as extended XYZ:
```
4
Lattice="-3.208 -2.045 3.691 2.001 -1.695 4.607 -0.966 2.696 4.461" Properties=species:S:1:pos:R:3 pbc="T T T"
Lu -1.086 -0.522 6.380
Ag 0.000 0.000 0.000
Er -0.543 -0.261 3.190
Er -1.629 -0.783 9.569
```

---

Record 7
VASP calculation (GGA-PBE) on a relaxed Er2LuAg crystal.

Properties
- Formation enthalpy at 0 K: -0.008 eV per atom
- Final energy: -16.53 eV/f.u.
- ΔE to the lowest computed polymorph: 122.0 meV/atom

Geometry as extended XYZ:
```
4
Lattice="3.772 0.000 0.000 0.000 5.290 0.000 0.000 0.000 5.290" Properties=species:S:1:pos:R:3 pbc="T T T"
Lu 1.886 2.645 2.645
Ag 1.886 0.000 0.000
Er 0.000 0.000 2.645
Er 0.000 2.645 0.000
```

---

Record 8
VASP calculation (GGA-PBE) on a relaxed ErLuAg crystal.

Properties
- Formation enthalpy at 0 K: -0.182 eV per atom
- Final energy: -12.48 eV/f.u.
- ΔE to the lowest computed polymorph: 0.0 meV/atom

Geometry as extended XYZ:
```
3
Lattice="-0.807 -2.497 -2.371 -1.041 -2.144 2.613 -4.797 4.577 -0.549" Properties=species:S:1:pos:R:3 pbc="T T T"
Lu -0.212 0.084 -0.016
Ag -2.800 -1.581 -0.020
Er -3.633 1.433 -0.272
```

---

Record 9
VASP calculation (GGA-PBE) on a relaxed NdErLuAg crystal.

Properties
- Formation enthalpy at 0 K: 0.047 eV per atom
- Final energy: -16.52 eV/f.u.

Geometry as extended XYZ:
```
4
Lattice="5.387 0.000 0.000 2.693 4.665 0.000 2.693 1.555 4.398" Properties=species:S:1:pos:R:3 pbc="T T T"
Lu 8.080 4.665 3.299
Nd 5.387 3.110 2.199
Ag 2.693 1.555 1.100
Er 0.000 0.000 0.000
```

---

Record 10
VASP calculation (GGA-PBE) on a relaxed ErLuNiAg crystal.

Properties
- Formation enthalpy at 0 K: -0.350 eV per atom
- Final energy: -19.12 eV/f.u.

Geometry as extended XYZ:
```
4
Lattice="-3.440 2.295 2.619 -3.675 -2.552 1.984 -0.207 -0.625 4.850" Properties=species:S:1:pos:R:3 pbc="T T T"
Ni -3.661 -0.441 4.727
Lu -1.830 -0.221 2.363
Ag 0.000 0.000 0.000
Er -5.491 -0.662 7.090
```

---

Record 11
VASP calculation (GGA-PBE) on a relaxed ErLuAgOs crystal.

Properties
- Formation enthalpy at 0 K: -0.339 eV per atom
- Final energy: -24.52 eV/f.u.

Geometry as extended XYZ:
```
4
Lattice="4.876 0.000 0.000 2.438 4.223 0.000 2.438 1.408 3.981" Properties=species:S:1:pos:R:3 pbc="T T T"
Lu 4.876 2.815 1.991
Os 7.314 4.223 2.986
Ag 2.438 1.408 0.995
Er 0.000 0.000 0.000
```

---

Record 12
VASP calculation (GGA-PBE) on a relaxed ErLuAgPd crystal.

Properties
- Formation enthalpy at 0 K: -0.625 eV per atom
- Final energy: -19.63 eV/f.u.

Geometry as extended XYZ:
```
4
Lattice="-4.836 0.664 0.961 -2.330 -2.993 3.219 -1.439 1.749 4.430" Properties=species:S:1:pos:R:3 pbc="T T T"
Lu 0.000 0.000 0.000
Pd -6.454 -0.435 6.457
Ag -2.151 -0.145 2.152
Er -4.302 -0.290 4.305
```